Entry from the Alexandria database: a relaxed structure of CoPbSe2 (PBE-GGA).

Lattice parameters (Å, degrees): 4.9110 4.9110 4.9110 107.96 107.96 112.55
Closest atoms and distances in Å follow each position.
Element x y z (fractional)
Co 0.0000 0.0000 0.0000  2 Pb 2.73, 4 Se 2.89
Pb 0.5000 0.5000 0.0000  2 Co 2.73, 4 Se 2.89
Se 0.0000 0.5000 0.5000  2 Se 2.73, 2 Pb 2.89, 2 Co 2.89
Se 0.5000 0.0000 0.5000  2 Se 2.73, 2 Pb 2.89, 2 Co 2.89

Results
- Total DFT energy (no corrections): -4.161 eV per atom
- Crystal system: tetragonal
- Raw formation energy: 285 meV per atom
- Space-group type: I4/mmm, No. 139